MnPt2Se, optimized geometry, DFT GGA-PBEsol; V = 61 Å³ per cell; total magnetic moment = 1.0097 μB per atom; E_form (uncorrected) = 0.04 eV per atom
1.0
-1.9710 3.2884 0.6915
-3.3441 -1.9983 -0.0290
2.9999 -1.2756 3.6427
Pt Se Mn
2 1 1
direct
0.7500 0.2500 0.5000
0.2500 0.7500 0.5000
0.5000 0.5000 0.0000
0.0000 0.0000 0.0000